Entry 1:
Density functional theory data (meta-GGA SCAN) for a crystal of In3Cu relaxed with PBEsol.

Calculated formation energy (eV/f.u.): 0.255
VASP energy (eV/atom): -28.7758

Unit cell a=5.920 b=7.013 c=8.165 alpha=90.00 beta=90.00 gamma=90.00
Fractional positions:
1 In 0.111 0.010 0.750
2 In 0.356 0.817 0.055
3 In 0.611 0.490 0.250
4 In 0.644 0.183 0.555
5 In 0.889 0.990 0.250
6 In 0.389 0.510 0.750
7 In 0.856 0.683 0.555
8 In 0.644 0.183 0.945
9 In 0.356 0.817 0.445
10 In 0.144 0.317 0.055
11 In 0.856 0.683 0.945
12 In 0.144 0.317 0.445
13 Cu 0.547 0.874 0.750
14 Cu 0.047 0.626 0.250
15 Cu 0.453 0.126 0.250
16 Cu 0.953 0.374 0.750

Entry 2:
Density functional theory data (meta-GGA SCAN) for a crystal of In3Cu relaxed with PBEsol.

Calculated formation energy (eV/f.u.): 0.460
VASP energy (eV/atom): -28.7247

Unit cell a=3.393 b=3.393 c=8.845 alpha=78.94 beta=78.94 gamma=60.00
Fractional positions:
1 Cu 0.000 0.000 0.000
2 In 0.737 0.737 0.788
3 In 0.500 0.500 0.500
4 In 0.263 0.263 0.212

Entry 3:
Density functional theory data (meta-GGA SCAN) for a crystal of In3Cu relaxed with PBEsol.

Calculated formation energy (eV/f.u.): 0.324
VASP energy (eV/atom): -28.7587

Unit cell a=3.146 b=4.400 c=6.840 alpha=108.76 beta=103.29 gamma=90.00
Fractional positions:
1 Cu 0.000 0.500 0.000
2 In 0.687 0.687 0.373
3 In 0.313 0.313 0.627
4 In 0.500 0.000 0.000

Entry 4:
Density functional theory data (meta-GGA SCAN) for a crystal of In3Cu relaxed with PBEsol.

Calculated formation energy (eV/f.u.): 0.964
VASP energy (eV/atom): -28.5988

Unit cell a=3.424 b=5.144 c=5.144 alpha=110.28 beta=90.00 gamma=90.00
Fractional positions:
1 In 0.500 0.000 0.500
2 In 0.000 0.500 0.500
3 In 0.500 0.500 0.000
4 Cu 0.000 0.000 0.000

What is the formula in the fourth record? In3Cu

The lowest calculated formation energy belongs to which entry? number 1